1.
VASP calculation (GGA-PBE) on a geometry-optimized CuP2S4 structure.

```
14
Lattice="6.961 0.000 0.000 0.000 6.961 0.000 0.000 0.000 6.011" Properties=species:S:1:pos:R:3 pbc="T T T"
Cu 0.000 0.000 0.000
Cu 3.481 3.481 3.006
P 0.000 3.481 1.503
P 0.000 3.481 4.508
P 3.481 0.000 1.503
P 3.481 0.000 4.508
S 1.084 2.143 0.000
S 1.338 4.565 3.006
S 2.143 5.877 0.000
S 2.396 1.338 3.006
S 4.565 5.623 3.006
S 4.818 1.084 0.000
S 5.623 2.396 3.006
S 5.877 4.818 0.000
```

Properties
* SG: No. 87
* final energy: -59.82 eV per cell

---

2.
VASP calculation (GGA-PBE) on a geometry-optimized CuPS3 structure.

```
5
Lattice="4.464 0.000 0.000 0.000 4.464 0.000 0.000 0.000 4.464" Properties=species:S:1:pos:R:3 pbc="T T T"
Cu 0.000 0.000 0.000
P 2.232 2.232 2.232
S 0.000 2.232 2.232
S 2.232 0.000 2.232
S 2.232 2.232 0.000
```

Properties
* SG: No. 221
* final energy: -18.41 eV per cell

---

3.
VASP calculation (GGA-PBE) on a geometry-optimized Cu2PS structure.

```
16
Lattice="6.074 0.000 0.000 0.000 6.074 0.000 0.000 0.000 6.074" Properties=species:S:1:pos:R:3 pbc="T T T"
Cu 1.519 1.519 1.519
Cu 1.519 1.519 4.556
Cu 1.519 4.556 1.519
Cu 1.519 4.556 4.556
Cu 4.556 1.519 1.519
Cu 4.556 1.519 4.556
Cu 4.556 4.556 1.519
Cu 4.556 4.556 4.556
P 0.000 0.000 0.000
P 0.000 3.037 3.037
P 3.037 0.000 3.037
P 3.037 3.037 0.000
S 0.000 0.000 3.037
S 0.000 3.037 0.000
S 3.037 0.000 0.000
S 3.037 3.037 3.037
```

Properties
* SG: No. 225
* final energy: -63.56 eV per cell

---

4.
VASP calculation (GGA-PBE) on a geometry-optimized CuPS3 structure.

```
10
Lattice="6.105 0.000 0.000 0.000 3.523 0.000 -0.194 0.000 10.672" Properties=species:S:1:pos:R:3 pbc="T T T"
Cu 0.714 0.881 1.667
Cu 5.198 2.642 9.005
P 1.861 0.881 7.808
P 4.050 2.642 2.864
S 0.594 0.881 9.455
S 1.410 2.642 6.584
S 2.067 2.642 2.348
S 3.845 0.881 8.324
S 4.502 0.881 4.088
S 5.317 2.642 1.216
```

Properties
* SG: No. 11
* final energy: -44.51 eV per cell

---

5.
VASP calculation (GGA-PBE) on a geometry-optimized Cu4PS4 structure.

```
9
Lattice="-4.561 4.561 1.868 4.561 -4.561 1.868 4.561 4.561 -1.868" Properties=species:S:1:pos:R:3 pbc="T T T"
Cu 2.922 1.576 0.000
Cu 2.986 -1.640 1.868
Cu 1.576 6.201 0.000
Cu 1.640 2.986 1.868
P 0.000 0.000 1.868
S 5.065 2.336 0.000
S 2.336 4.058 0.000
S 2.226 0.503 1.868
S -0.503 2.226 1.868
```

Properties
* SG: No. 87
* final energy: -39.07 eV per cell

---

6.
VASP calculation (GGA-PBE) on a geometry-optimized CuPS3 structure.

```
5
Lattice="4.475 0.000 0.000 0.000 4.475 0.000 0.000 0.000 4.475" Properties=species:S:1:pos:R:3 pbc="T T T"
Cu 0.000 0.000 0.000
P 2.237 2.237 2.237
S 0.000 0.000 2.237
S 0.000 2.237 0.000
S 2.237 0.000 0.000
```

Properties
* SG: No. 221
* final energy: -17.41 eV per cell

---

7.
VASP calculation (GGA-PBE) on a geometry-optimized Cu2PS5 structure.

```
8
Lattice="5.596 0.000 0.000 -1.548 5.893 0.000 -1.729 -1.310 5.845" Properties=species:S:1:pos:R:3 pbc="T T T"
Cu 0.000 0.000 0.000
Cu -1.276 2.858 2.207
P -1.818 1.818 4.877
S -0.771 0.972 3.397
S -0.350 4.842 1.611
S 1.195 4.030 0.473
S 4.300 1.795 0.111
S 2.703 3.332 3.993
```

Properties
* SG: No. 1
* final energy: -35.25 eV per cell

---

8.
VASP calculation (GGA-PBE) on a geometry-optimized CuPS3 structure.

```
10
Lattice="-5.749 2.903 2.946 5.749 -2.903 2.946 5.749 2.903 -2.946" Properties=species:S:1:pos:R:3 pbc="T T T"
Cu 2.874 0.020 0.000
Cu 2.874 2.884 2.946
P 2.874 -0.737 2.198
P 2.874 3.640 -0.748
S 6.114 1.988 -0.931
S 5.383 -0.915 2.015
S -0.365 0.915 2.015
S 6.114 0.915 2.015
S 2.874 2.175 0.744
S 2.874 0.728 3.690
```

Properties
* SG: No. 46
* final energy: -43.19 eV per cell